Entry 1:
The following is a DFT calculation (GGA-PBE) of a geometry-optimized Cs2LiPdCl6 structure.

Cell and atoms, written as extended XYZ:
```
20
Lattice="7.3367 0.0000 0.0000 3.6683 6.3537 0.0000 3.6683 2.1179 12.1242" Properties=species:S:1:pos:R:3 pbc="T T T"
Pd 0.0000 0.0000 0.0000
Pd 7.3367 4.2358 6.0621
Cs 11.0050 6.3537 10.6702
Cs 11.0050 6.3537 4.5227
Cs 3.6683 2.1179 1.4540
Cs 3.6683 2.1179 7.6015
Cl 7.3367 6.4610 10.7076
Cl 7.3367 6.1883 4.6006
Cl 9.2637 5.3484 1.4166
Cl 9.2637 3.1233 10.7076
Cl 5.4096 3.1233 10.7076
Cl 5.6458 5.2121 7.5235
Cl 7.3367 2.2834 7.5235
Cl 9.0275 5.2121 7.5235
Cl 9.0276 3.2596 4.6006
Cl 5.6458 3.2596 4.6006
Cl 7.3367 2.0107 1.4166
Cl 5.4096 5.3484 1.4166
Li 7.3367 4.2358 3.0010
Li 7.3367 4.2358 9.1232
```

Calculated values
E_form (uncorrected) (eV/atom): -1.34
N(E_F) (states/eV/atom): 0.47

***

Entry 2:
The following is a DFT calculation (GGA-PBE) of a geometry-optimized FeNi2S4 structure.

Cell and atoms, written as extended XYZ:
```
14
Lattice="-5.9145 -2.8451 -1.1495 2.9369 -4.7756 -3.6008 1.8004 1.2464 6.2930" Properties=species:S:1:pos:R:3 pbc="T T T"
Ni 0.0000 0.0000 0.0000
Ni -2.0571 -0.7993 2.5718
Ni 1.7227 -1.1852 3.2423
Ni -2.8999 -5.1891 -1.6995
S -0.3893 -4.5020 2.6108
S -1.2313 -5.0581 -0.3242
S -1.9364 -1.9451 4.5449
S -2.7121 -2.6200 1.3378
S 1.5349 -3.7542 0.2050
S -0.7879 -1.8723 -1.0680
S 0.7592 -4.4292 -3.0021
S 0.0541 -1.3161 1.8669
Fe -2.9573 -1.4226 -0.5747
Fe -0.5886 -3.1871 0.7714
```

Calculated values
E_form (uncorrected) (eV/atom): -0.41
ΔE to the lowest computed polymorph (meV/atom): 0
N(E_F) (states/eV/atom): 0.56

***

Entry 3:
The following is a DFT calculation (GGA-PBE) of a geometry-optimized SmDy4Se7 structure.

Cell and atoms, written as extended XYZ:
```
12
Lattice="-1.5665 2.5589 2.6164 -4.6268 -5.2438 -0.6701 7.7433 -4.0388 8.5862" Properties=species:S:1:pos:R:3 pbc="T T T"
Se 5.6431 -3.5183 6.8197
Se 3.6662 -6.5454 8.5967
Se -4.0818 -3.2297 3.7433
Se -2.1249 -0.1913 1.9433
Se 2.2797 -4.6375 5.9005
Se 3.0433 -0.7429 5.5771
Se -0.6799 -2.0310 4.6077
Dy -1.8015 -3.1296 1.9822
Dy 2.0306 -2.5946 3.7534
Dy 3.3496 -3.6003 8.5552
Dy 0.0052 -0.0106 0.0134
Sm -0.4911 -4.1274 6.7711
```

Calculated values
E_form (uncorrected) (eV/atom): -1.86
N(E_F) (states/eV/atom): 0.16

***

Entry 4:
The following is a DFT calculation (GGA-PBE) of a geometry-optimized Ac2Ag3Pb structure.

Cell and atoms, written as extended XYZ:
```
6
Lattice="-1.7167 -3.2030 -2.3206 2.1554 -3.1188 2.7102 -7.2815 3.0059 5.2433" Properties=species:S:1:pos:R:3 pbc="T T T"
Ag -0.4468 -3.1755 0.7078
Ag -3.0885 -1.6508 4.5632
Ag -2.6208 -3.2232 2.3818
Ac -1.8123 -0.0398 1.3955
Ac -6.0716 -1.7159 2.8541
Pb -5.4106 -1.7018 6.3513
```

Calculated values
ΔE to the lowest computed polymorph (meV/atom): 60
N(E_F) (states/eV/atom): 0.70
Energy relative to the elements (eV per atom): -0.29

***

Entry 5:
The following is a DFT calculation (GGA-PBE) of a geometry-optimized Tl2CdO4 structure.

Cell and atoms, written as extended XYZ:
```
14
Lattice="5.8193 0.0000 3.3358 1.9638 5.5782 3.3179 -0.0213 -0.0175 6.7809" Properties=species:S:1:pos:R:3 pbc="T T T"
Cd 3.8916 2.7891 3.3269
Cd 0.9819 2.7891 1.6590
O 4.7290 1.4048 8.3915
O 2.9258 4.0119 8.3836
O 2.0077 1.4048 6.8316
O 5.7423 4.1456 10.2141
O 5.7542 4.1559 6.6031
O 4.8361 1.5488 5.0511
O 3.0329 4.1559 5.0432
O 2.0196 1.4150 3.2206
Tl 3.8809 2.7803 6.7173
Tl 0.9957 0.6346 5.0068
Tl 2.9097 0.0000 1.6679
Tl 6.7662 4.9261 8.4278
```

Calculated values
E_form (uncorrected) (eV/atom): -0.77
ΔE to the lowest computed polymorph (meV/atom): 0
N(E_F) (states/eV/atom): 0.44

***

Values of total energy, in order: -3.326; -5.632; -5.818; -3.698; -4.408, all in eV per atom.